A relaxed structure of BaAs2Au, computed with GGA-PBE.

Results
Its space group is C2/m. As for the formation energy: -0.50 eV/atom.

Cell lengths 5.4289, 5.4289, 6.6069 Å; angles 125.55, 125.55, 47.25 degrees
Positions (direct):
Ba 0.0000 0.0000 0.0000
As 0.1785 0.1785 0.6646
As 0.8215 0.8215 0.3354
Au 0.5000 0.5000 0.5000

---

A relaxed structure of Ba6AsAu5, computed with GGA-PBE.

Results
Its space group is Immm. As for the formation energy: -0.76 eV/atom.

Cell lengths 9.9202, 9.9202, 9.9202 Å; angles 146.60, 132.08, 59.66 degrees
Positions (direct):
Ba 0.0829 0.3362 0.7467
Ba 0.2415 0.0000 0.2415
Ba 0.4106 0.6638 0.7467
Ba 0.5894 0.3362 0.2533
Ba 0.7585 0.0000 0.7585
Ba 0.9171 0.6638 0.2533
As 0.0000 0.5000 0.5000
Au 0.1731 0.1731 0.0000
Au 0.3324 0.8324 0.5000
Au 0.5000 0.5000 0.0000
Au 0.6676 0.1676 0.5000
Au 0.8269 0.8269 0.0000

---

A relaxed structure of Ba3As3Au2, computed with GGA-PBE.

Results
Its space group is Cmcm. As for the formation energy: -0.85 eV/atom.

Cell lengths 6.5291, 6.5291, 17.6459 Å; angles 90.00, 90.00, 139.27 degrees
Positions (direct):
Ba 0.0873 0.9127 0.7500
Ba 0.3764 0.6236 0.5848
Ba 0.3764 0.6236 0.9152
Ba 0.6236 0.3764 0.0848
Ba 0.6236 0.3764 0.4152
Ba 0.9127 0.0873 0.2500
As 0.1020 0.8980 0.5642
As 0.1020 0.8980 0.9358
As 0.2027 0.7973 0.2500
As 0.7973 0.2027 0.7500
As 0.8980 0.1020 0.0642
As 0.8980 0.1020 0.4358
Au 0.3283 0.6717 0.1232
Au 0.3283 0.6717 0.3768
Au 0.6717 0.3283 0.6232
Au 0.6717 0.3283 0.8768

---

> Which formula does entry 1 have?

BaAs2Au